No. 1
The following is a PBE calculation of a relaxed ZnInBr2F crystal, from the Alexandria database.

The space group is P4/mmm (No. 123) and the conventional cell measures 5.437, 5.437 and 4.008 Å, with angles of 90.00, 90.00 and 90.00 degrees. The asymmetric unit holds Zn at (0.000, 0.000, 0.000), In at (0.500, 0.500, 0.500), Br at (0.000, 0.500, 0.000) and F at (0.000, 0.000, 0.500).

Its calculated total energy is -2.962 eV/atom. The volume is 118 Å³ per cell.


No. 2
The following is a PBE calculation of a relaxed ZnInBrF2 crystal, from the Alexandria database.

The space group is P4/mmm (No. 123) and the conventional cell measures 4.316, 4.316 and 5.226 Å, with angles of 90.00, 90.00 and 90.00 degrees. The asymmetric unit holds Zn at (0.000, 0.000, 0.000), In at (0.500, 0.500, 0.500), Br at (0.000, 0.000, 0.500) and F at (0.000, 0.500, 0.000).

Its calculated total energy is -3.341 eV/atom. The volume is 97 Å³ per cell.


No. 3
The following is a PBE calculation of a relaxed IrBr2F crystal, from the Alexandria database.

The space group is I-42d (No. 122) and the conventional cell measures 6.793, 6.793 and 7.593 Å, with angles of 90.00, 90.00 and 90.00 degrees. The asymmetric unit holds Ir at (0.000, 0.000, 0.000), Br at (0.208, 0.250, 0.125) and F at (0.000, 0.000, 0.500).

The polymorph energy (0 for the lowest one) comes out at 14.23 kcal/mol of atoms. The volume is 350 Å³ per cell.


No. 4
The following is a PBE calculation of a relaxed IrBrF3 crystal, from the Alexandria database.

The space group is Pm-3m (No. 221) and the conventional cell measures 4.189, 4.189 and 4.189 Å, with angles of 90.00, 90.00 and 90.00 degrees. The asymmetric unit holds Ir at (0.000, 0.000, 0.000), Br at (0.500, 0.500, 0.500) and F at (0.000, 0.000, 0.500).

The polymorph energy (0 for the lowest one) comes out at 0.00 kcal/mol of atoms. The volume is 74 Å³ per cell.


No. 5
The following is a PBE calculation of a relaxed Ir3BrF crystal, from the Alexandria database.

The space group is Pm-3m (No. 221) and the conventional cell measures 4.647, 4.647 and 4.647 Å, with angles of 90.00, 90.00 and 90.00 degrees. The asymmetric unit holds Ir at (0.000, 0.000, 0.500), Br at (0.000, 0.000, 0.000) and F at (0.500, 0.500, 0.500).

The polymorph energy (0 for the lowest one) comes out at 3.59 kcal/mol of atoms. The volume is 100 Å³ per cell.


No. 6
The following is a PBE calculation of a relaxed IrBr2F8 crystal, from the Alexandria database.

The space group is P-1 (No. 2) and the conventional cell measures 5.462, 6.072 and 6.945 Å, with angles of 114.23, 100.38 and 91.24 degrees. The asymmetric unit holds Ir at (0.000, 0.000, 0.000), Br at (0.476, 0.254, 0.510), F at (0.065, 0.125, 0.803), F at (0.072, 0.690, 0.813), F at (0.349, 0.085, 0.155) and F at (0.411, 0.609, 0.203).

Its calculated total energy is -3.575 eV/atom. The volume is 205 Å³ per cell.


No. 7
The following is a PBE calculation of a relaxed IrBrF crystal, from the Alexandria database.

The space group is P2_1/m (No. 11) and the conventional cell measures 4.635, 3.762 and 7.156 Å, with angles of 90.00, 103.78 and 90.00 degrees. The asymmetric unit holds Ir at (0.128, 0.250, 0.434), Br at (0.441, 0.750, 0.288) and F at (0.148, 0.750, 0.819).

The polymorph energy (0 for the lowest one) comes out at 0.00 kcal/mol of atoms. The volume is 121 Å³ per cell.


No. 8
The following is a PBE calculation of a relaxed IrBrF2 crystal, from the Alexandria database.

The space group is Fm-3m (No. 225) and the conventional cell measures 6.115, 6.115 and 6.115 Å, with angles of 90.00, 90.00 and 90.00 degrees. The asymmetric unit holds Ir at (0.000, 0.000, 0.000), Br at (0.000, 0.000, 0.500) and F at (0.250, 0.250, 0.250).

The polymorph energy (0 for the lowest one) comes out at 23.22 kcal/mol of atoms. The volume is 229 Å³ per cell.


No. 9
The following is a PBE calculation of a relaxed IrBr2F crystal, from the Alexandria database.

The space group is Fm-3m (No. 225) and the conventional cell measures 6.352, 6.352 and 6.352 Å, with angles of 90.00, 90.00 and 90.00 degrees. The asymmetric unit holds Ir at (0.000, 0.000, 0.000), Br at (0.250, 0.250, 0.250) and F at (0.000, 0.000, 0.500).

The polymorph energy (0 for the lowest one) comes out at 17.52 kcal/mol of atoms. The volume is 256 Å³ per cell.


No. 10
The following is a PBE calculation of a relaxed Ir2BrF crystal, from the Alexandria database.

The space group is I-42d (No. 122) and the conventional cell measures 6.664, 6.664 and 5.578 Å, with angles of 90.00, 90.00 and 90.00 degrees. The asymmetric unit holds Ir at (0.231, 0.250, 0.125), Br at (0.000, 0.000, 0.500) and F at (0.000, 0.000, 0.000).

The polymorph energy (0 for the lowest one) comes out at 0.07 kcal/mol of atoms. The volume is 248 Å³ per cell.


No. 11
The following is a PBE calculation of a relaxed IrBrF2 crystal, from the Alexandria database.

The space group is I-42d (No. 122) and the conventional cell measures 4.189, 4.189 and 14.574 Å, with angles of 90.00, 90.00 and 90.00 degrees. The asymmetric unit holds Ir at (0.000, 0.000, 0.000), Br at (0.000, 0.000, 0.500) and F at (0.087, 0.250, 0.125).

The polymorph energy (0 for the lowest one) comes out at 12.86 kcal/mol of atoms. The volume is 256 Å³ per cell.


No. 12
The following is a PBE calculation of a relaxed IrBrF crystal, from the Alexandria database.

The space group is C2/m (No. 12) and the conventional cell measures 11.036, 2.911 and 7.503 Å, with angles of 90.00, 114.71 and 90.00 degrees. The asymmetric unit holds Ir at (0.180, 0.000, 0.071), Br at (0.020, 0.000, 0.232) and F at (0.172, 0.500, 0.666).

The polymorph energy (0 for the lowest one) comes out at 0.85 kcal/mol of atoms. The volume is 219 Å³ per cell.


No. 13
The following is a PBE calculation of a relaxed IrBrF crystal, from the Alexandria database.

The space group is P-1 (No. 2) and the conventional cell measures 3.649, 5.987 and 6.037 Å, with angles of 77.16, 88.84 and 87.80 degrees. The asymmetric unit holds Ir at (0.245, 0.419, 0.391), Br at (0.489, 0.796, 0.256) and F at (0.186, 0.700, 0.767).

The polymorph energy (0 for the lowest one) comes out at 5.44 kcal/mol of atoms. The volume is 129 Å³ per cell.


No. 14
The following is a PBE calculation of a relaxed Ir2BrF crystal, from the Alexandria database.

The space group is Fm-3m (No. 225) and the conventional cell measures 6.132, 6.132 and 6.132 Å, with angles of 90.00, 90.00 and 90.00 degrees. The asymmetric unit holds Ir at (0.250, 0.250, 0.250), Br at (0.000, 0.000, 0.000) and F at (0.000, 0.000, 0.500).

The polymorph energy (0 for the lowest one) comes out at 0.00 kcal/mol of atoms. The volume is 231 Å³ per cell.


No. 15
The following is a PBE calculation of a relaxed IrBr2F crystal, from the Alexandria database.

The space group is Cm (No. 8) and the conventional cell measures 13.484, 4.100 and 3.719 Å, with angles of 90.00, 105.94 and 90.00 degrees. The asymmetric unit holds Ir at (0.000, 0.000, 0.000), Br at (0.129, 0.000, 0.628), Br at (0.370, 0.500, 0.371) and F at (0.481, 0.000, 0.981).

The polymorph energy (0 for the lowest one) comes out at 0.00 kcal/mol of atoms. The volume is 198 Å³ per cell.


No. 16
The following is a PBE calculation of a relaxed IrBr2F crystal, from the Alexandria database.

The space group is R-3m (No. 166, hexagonal axes) and the conventional cell measures 3.7532, 3.7532 and 22.4585 Å, with angles of 90.00, 90.00 and 120.00 degrees. The asymmetric unit holds Ir at (0.0000, 0.0000, 0.0000), Br at (0.0000, 0.0000, 0.3939) and F at (0.0000, 0.0000, 0.5000).

The polymorph energy (0 for the lowest one) comes out at 9.87 kcal/mol of atoms. The volume is 274 Å³ per cell.


No. 17
The following is a PBE calculation of a relaxed Ir3BrF crystal, from the Alexandria database.

The space group is Pm-3m (No. 221) and the conventional cell measures 4.390, 4.390 and 4.390 Å, with angles of 90.00, 90.00 and 90.00 degrees. The asymmetric unit holds Ir at (0.000, 0.000, 0.500), Br at (0.500, 0.500, 0.500) and F at (0.000, 0.000, 0.000).

The polymorph energy (0 for the lowest one) comes out at 0.00 kcal/mol of atoms. The volume is 85 Å³ per cell.


No. 18
The following is a PBE calculation of a relaxed IrBrF3 crystal, from the Alexandria database.

The space group is Pm-3m (No. 221) and the conventional cell measures 4.491, 4.491 and 4.491 Å, with angles of 90.00, 90.00 and 90.00 degrees. The asymmetric unit holds Ir at (0.000, 0.000, 0.000), Br at (0.500, 0.500, 0.500) and F at (0.000, 0.500, 0.500).

The polymorph energy (0 for the lowest one) comes out at 26.28 kcal/mol of atoms. The volume is 91 Å³ per cell.


No. 19
The following is a PBE calculation of a relaxed IrBr2F crystal, from the Alexandria database.

The space group is R-3m (No. 166, hexagonal axes) and the conventional cell measures 2.9881, 2.9881 and 26.7986 Å, with angles of 90.00, 90.00 and 120.00 degrees. The asymmetric unit holds Ir at (0.0000, 0.0000, 0.0000), Br at (0.0000, 0.0000, 0.0891) and F at (0.0000, 0.0000, 0.5000).

The polymorph energy (0 for the lowest one) comes out at 17.30 kcal/mol of atoms. The volume is 207 Å³ per cell.


No. 20
The following is a PBE calculation of a relaxed IrBrF crystal, from the Alexandria database.

The space group is P-1 (No. 2) and the conventional cell measures 3.755, 4.646 and 7.347 Å, with angles of 105.88, 104.61 and 90.01 degrees. The asymmetric unit holds Ir at (0.217, 0.123, 0.433), Br at (0.357, 0.574, 0.716) and F at (0.090, 0.829, 0.176).

The polymorph energy (0 for the lowest one) comes out at 0.04 kcal/mol of atoms. The volume is 119 Å³ per cell.


No. 21
The following is a PBE calculation of a relaxed IrBrF2 crystal, from the Alexandria database.

The space group is R-3m (No. 166, hexagonal axes) and the conventional cell measures 2.8090, 2.8090 and 30.9437 Å, with angles of 90.00, 90.00 and 120.00 degrees. The asymmetric unit holds Ir at (0.0000, 0.0000, 0.0000), Br at (0.0000, 0.0000, 0.5000) and F at (0.0000, 0.0000, 0.0612).

The polymorph energy (0 for the lowest one) comes out at 0.00 kcal/mol of atoms. The volume is 211 Å³ per cell.


No. 22
The following is a PBE calculation of a relaxed K2IrBr2F4 crystal, from the Alexandria database.

The space group is C2/m (No. 12) and the conventional cell measures 11.000, 6.398 and 6.664 Å, with angles of 90.00, 98.26 and 90.00 degrees. The asymmetric unit holds K at (0.194, 0.000, 0.180), Ir at (0.000, 0.500, 0.000), Br at (0.142, 0.500, 0.327) and F at (0.101, 0.282, 0.897).

Its calculated total energy is -4.176 eV/atom. The volume is 464 Å³ per cell.


No. 23
The following is a PBE calculation of a relaxed K2IrBr4F2 crystal, from the Alexandria database.

The space group is C2/m (No. 12) and the conventional cell measures 11.853, 7.466 and 7.229 Å, with angles of 90.00, 126.92 and 90.00 degrees. The asymmetric unit holds K at (0.248, 0.000, 0.189), Ir at (0.000, 0.500, 0.000), Br at (0.041, 0.263, 0.277) and F at (0.202, 0.500, 0.130).

Its calculated total energy is -3.712 eV/atom. The volume is 511 Å³ per cell.


No. 24
The following is a PBE calculation of a relaxed K3IrBr2F6 crystal, from the Alexandria database.

The space group is C2/m (No. 12) and the conventional cell measures 15.359, 7.370 and 5.393 Å, with angles of 90.00, 91.50 and 90.00 degrees. The asymmetric unit holds K at (0.000, 0.000, 0.000), K at (0.250, 0.250, 0.500), Ir at (0.000, 0.500, 0.500), Br at (0.209, 0.000, 0.008), F at (0.028, 0.310, 0.734) and F at (0.123, 0.500, 0.410).

Its calculated total energy is -4.063 eV/atom. The volume is 610 Å³ per cell.


No. 25
The following is a PBE calculation of a relaxed La8Ir3Br3F crystal, from the Alexandria database.

The space group is R-3m (No. 166, hexagonal axes) and the conventional cell measures 8.4404, 8.4404 and 22.8536 Å, with angles of 90.00, 90.00 and 120.00 degrees. The asymmetric unit holds La at (0.0000, 0.0000, 0.2333), La at (0.0140, 0.5070, 0.7648), Ir at (0.0000, 0.5000, 0.5000), Br at (0.0000, 0.5000, 0.0000) and F at (0.0000, 0.0000, 0.5000).

Its calculated total energy is -6.098 eV/atom. The volume is 1410 Å³ per cell.


No. 26
The following is a PBE calculation of a relaxed La8Ir3Br4F crystal, from the Alexandria database.

The space group is R-3m (No. 166, hexagonal axes) and the conventional cell measures 8.3671, 8.3671 and 23.6994 Å, with angles of 90.00, 90.00 and 120.00 degrees. The asymmetric unit holds La at (0.0000, 0.0000, 0.2320), La at (0.0098, 0.5049, 0.7672), Ir at (0.0000, 0.5000, 0.5000), Br at (0.0000, 0.0000, 0.0000), Br at (0.0000, 0.5000, 0.0000) and F at (0.0000, 0.0000, 0.5000).

Its calculated total energy is -6.028 eV/atom. The volume is 1437 Å³ per cell.